# Tm4NiB13 GGA-PBEsol relaxed
data_Tm4NiB13
_symmetry_space_group_name_H-M 'P 4/m n c'
_symmetry_Int_Tables_number 128
_symmetry_space_group_name_Hall '-P 4 2n'
_cell_length_a 7.2192
_cell_length_b 7.2192
_cell_length_c 6.7061
_cell_angle_alpha 90.00
_cell_angle_beta 90.00
_cell_angle_gamma 90.00
loop_
_atom_site_label
_atom_site_type_symbol
_atom_site_fract_x
_atom_site_fract_y
_atom_site_fract_z
Tm1 Tm 0.1808 0.3149 0.0000
Ni1 Ni 0.0000 0.0000 0.5000
B1 B 0.0000 0.0000 0.0000
B2 B 0.0398 0.8291 0.2433
B3 B 0.0910 0.5910 0.2500
# Calculated formation energy ... -0.59 eV/atom
# N(E_F) ... 0.23 states/eV per atom
# Magnetic moment ... 0.0 μB per formula unit

# V2Ni21B6 GGA-PBEsol relaxed
data_V2Ni21B6
_symmetry_space_group_name_H-M 'F m -3 m'
_symmetry_Int_Tables_number 225
_symmetry_space_group_name_Hall '-F 4 2 3'
_cell_length_a 10.3125
_cell_length_b 10.3125
_cell_length_c 10.3125
_cell_angle_alpha 90.00
_cell_angle_beta 90.00
_cell_angle_gamma 90.00
loop_
_atom_site_label
_atom_site_type_symbol
_atom_site_fract_x
_atom_site_fract_y
_atom_site_fract_z
V1 V 0.2500 0.2500 0.2500
Ni1 Ni 0.0000 0.0000 0.0000
Ni2 Ni 0.0000 0.1703 0.1703
Ni3 Ni 0.1187 0.1187 0.3813
B1 B 0.0000 0.0000 0.2693
# Calculated formation energy ... -0.32 eV/atom
# N(E_F) ... 0.81 states/eV per atom
# Magnetic moment ... 0.0 μB per formula unit

# NiB3W3 GGA-PBEsol relaxed
data_NiB3W3
_symmetry_space_group_name_H-M 'C m c m'
_symmetry_Int_Tables_number 63
_symmetry_space_group_name_Hall '-C 2c 2'
_cell_length_a 3.1854
_cell_length_b 8.3769
_cell_length_c 10.7056
_cell_angle_alpha 90.00
_cell_angle_beta 90.00
_cell_angle_gamma 90.00
loop_
_atom_site_label
_atom_site_type_symbol
_atom_site_fract_x
_atom_site_fract_y
_atom_site_fract_z
Ni1 Ni 0.0000 0.0000 0.0000
B1 B 0.0000 0.2910 0.2500
B2 B 0.0000 0.4126 0.1034
W1 W 0.0000 0.0018 0.7500
W2 W 0.0000 0.2881 0.6081
# Calculated formation energy ... -0.49 eV/atom
# N(E_F) ... 0.28 states/eV per atom
# Magnetic moment ... 0.0 μB per formula unit

# YNi12B6 GGA-PBEsol relaxed
data_YNi12B6
_symmetry_space_group_name_H-M 'C m c 21'
_symmetry_Int_Tables_number 36
_symmetry_space_group_name_Hall 'C 2c -2'
_cell_length_a 9.4337
_cell_length_b 7.2776
_cell_length_c 10.8491
_cell_angle_alpha 90.00
_cell_angle_beta 90.00
_cell_angle_gamma 90.00
loop_
_atom_site_label
_atom_site_type_symbol
_atom_site_fract_x
_atom_site_fract_y
_atom_site_fract_z
Y1 Y 0.0000 0.1667 0.0000
Ni1 Ni 0.0000 0.2168 0.6022
Ni2 Ni 0.0000 0.4348 0.4232
Ni3 Ni 0.1303 0.3260 0.2378
Ni4 Ni 0.1309 0.3421 0.7804
Ni5 Ni 0.1316 0.0126 0.7579
Ni6 Ni 0.1832 0.1859 0.4412
Ni7 Ni 0.1942 0.4641 0.5718
B1 B 0.0000 0.1637 0.3436
B2 B 0.0000 0.4869 0.6581
B3 B 0.2072 0.1954 0.6266
B4 B 0.2168 0.4560 0.3882
# Calculated formation energy ... -0.45 eV/atom
# N(E_F) ... 0.44 states/eV per atom
# Magnetic moment ... 0.0 μB per formula unit

# Y3Ni19B10 GGA-PBEsol relaxed
data_Y3Ni19B10
_symmetry_space_group_name_H-M 'C 1 2/m 1'
_symmetry_Int_Tables_number 12
_symmetry_space_group_name_Hall '-C 2y'
_cell_length_a 13.0141
_cell_length_b 8.6240
_cell_length_c 5.7067
_cell_angle_alpha 90.00
_cell_angle_beta 91.45
_cell_angle_gamma 90.00
loop_
_atom_site_label
_atom_site_type_symbol
_atom_site_fract_x
_atom_site_fract_y
_atom_site_fract_z
Y1 Y 0.0000 0.0000 0.0000
Y2 Y 0.1255 0.5000 0.3869
Ni1 Ni 0.0000 0.0000 0.5000
Ni2 Ni 0.0299 0.2584 0.6991
Ni3 Ni 0.1224 0.5000 0.8738
Ni4 Ni 0.1274 0.2495 0.0739
Ni5 Ni 0.1623 0.0000 0.7024
Ni6 Ni 0.1831 0.0000 0.2702
Ni7 Ni 0.2187 0.2639 0.6980
B1 B 0.0000 0.3839 0.0000
B2 B 0.1179 0.1822 0.4302
B3 B 0.2460 0.1047 0.9743
# Calculated formation energy ... -0.49 eV/atom
# N(E_F) ... 0.52 states/eV per atom
# Magnetic moment ... 0.0 μB per formula unit

# YNi2B2 GGA-PBEsol relaxed
data_YNi2B2
_symmetry_space_group_name_H-M 'C 1 2/c 1'
_symmetry_Int_Tables_number 15
_symmetry_space_group_name_Hall '-C 2yc'
_cell_length_a 8.3365
_cell_length_b 5.2260
_cell_length_c 6.7861
_cell_angle_alpha 90.00
_cell_angle_beta 127.09
_cell_angle_gamma 90.00
loop_
_atom_site_label
_atom_site_type_symbol
_atom_site_fract_x
_atom_site_fract_y
_atom_site_fract_z
Y1 Y 0.0000 0.1180 0.2500
Ni1 Ni 0.1266 0.4057 0.7007
B1 B 0.1696 0.3257 0.0246
# Calculated formation energy ... -0.61 eV/atom
# N(E_F) ... 0.47 states/eV per atom
# Magnetic moment ... 0.0 μB per formula unit

# Zn2Ni21B20 GGA-PBEsol relaxed
data_Zn2Ni21B20
_symmetry_space_group_name_H-M 'I 4/m m m'
_symmetry_Int_Tables_number 139
_symmetry_space_group_name_Hall '-I 4 2'
_cell_length_a 7.1191
_cell_length_b 7.1191
_cell_length_c 14.1153
_cell_angle_alpha 90.00
_cell_angle_beta 90.00
_cell_angle_gamma 90.00
loop_
_atom_site_label
_atom_site_type_symbol
_atom_site_fract_x
_atom_site_fract_y
_atom_site_fract_z
Zn1 Zn 0.0000 0.0000 0.1902
Ni1 Ni 0.0000 0.0000 0.0000
Ni2 Ni 0.0000 0.0000 0.3617
Ni3 Ni 0.0000 0.2611 0.5000
Ni4 Ni 0.0000 0.2994 0.1012
Ni5 Ni 0.0000 0.5000 0.2500
Ni6 Ni 0.2500 0.2500 0.2500
B1 B 0.0000 0.3002 0.3452
B2 B 0.2010 0.2010 0.0000
B3 B 0.2067 0.2067 0.3943
# Calculated formation energy ... -0.32 eV/atom
# N(E_F) ... 0.35 states/eV per atom
# Magnetic moment ... 0.0 μB per formula unit

# Zn3Ni20B6 GGA-PBEsol relaxed
data_Zn3Ni20B6
_symmetry_space_group_name_H-M 'F m -3 m'
_symmetry_Int_Tables_number 225
_symmetry_space_group_name_Hall '-F 4 2 3'
_cell_length_a 10.3652
_cell_length_b 10.3652
_cell_length_c 10.3652
_cell_angle_alpha 90.00
_cell_angle_beta 90.00
_cell_angle_gamma 90.00
loop_
_atom_site_label
_atom_site_type_symbol
_atom_site_fract_x
_atom_site_fract_y
_atom_site_fract_z
Zn1 Zn 0.0000 0.0000 0.0000
Zn2 Zn 0.2500 0.2500 0.2500
Ni1 Ni 0.0000 0.1692 0.1692
Ni2 Ni 0.1170 0.1170 0.3830
B1 B 0.0000 0.0000 0.2745
# Calculated formation energy ... -0.32 eV/atom
# N(E_F) ... 0.75 states/eV per atom
# Magnetic moment ... 0.0 μB per formula unit